(1)
Material: Cs2Pa3NbO12
Method: DFT, GGA-PBE
State: optimized geometry

Computed properties:
Formation energy without anion corrections = -2.85 eV per atom
E = -0.308 Ha/atom
Density of states at the Fermi level = 15.216 states/eV/f.u.
Mass density = 5.72 g cm⁻³
V = 361 Å³ per cell

Lattice parameters (Å, degrees): 7.9097 7.9097 7.9097 61.42 61.42 61.42
Last column: nearest neighbours and their distance in Å.
Element x y z (fractional)
O  0.0586  0.0586  0.7042  1 Nb 2.01, 1 Pa 2.16
O  0.6812  0.0635  0.6812  2 Pa 2.16
O  0.9365  0.3188  0.3188  2 Pa 2.16
O  0.6812  0.6812  0.0635  2 Pa 2.16
O  0.0635  0.6812  0.6812  2 Pa 2.16
O  0.7042  0.0586  0.0586  1 Nb 2.01, 1 Pa 2.16
O  0.0586  0.7042  0.0586  1 Nb 2.01, 1 Pa 2.16
O  0.3188  0.9365  0.3188  2 Pa 2.16
O  0.9414  0.9414  0.2958  1 Nb 2.01, 1 Pa 2.16
O  0.3188  0.3188  0.9365  2 Pa 2.16
O  0.2958  0.9414  0.9414  1 Nb 2.01, 1 Pa 2.16
O  0.9414  0.2958  0.9414  1 Nb 2.01, 1 Pa 2.16
Cs  0.6255  0.6255  0.6255  6 O 3.47-3.58
Cs  0.3745  0.3745  0.3745  6 O 3.47-3.58
Nb  0.0000  0.0000  0.0000  6 O 2.01
Pa  0.0000  0.5000  0.0000  6 O 2.16
Pa  0.5000  0.0000  0.0000  6 O 2.16
Pa  0.0000  0.0000  0.5000  6 O 2.16

=====

(2)
Material: CdNiCl2
Method: DFT, GGA-PBE
State: optimized geometry

Computed properties:
Formation energy without anion corrections = -0.34 eV per atom
E = -0.108 Ha/atom
Density of states at the Fermi level = 1.217 states/eV/f.u.
Mass density = 4.08 g cm⁻³
Offset from the most stable computed form = 51 meV/atom
V = 99 Å³ per cell

Lattice parameters (Å, degrees): 6.7126 6.7126 6.7126 151.97 135.80 53.16
Last column: nearest neighbours and their distance in Å.
Element x y z (fractional)
Cl  0.1105  0.1105  0.0000  2 Ni 2.33
Cl  0.3895  0.3895  0.0000  2 Ni 2.33
Cd  0.7500  0.2500  0.5000  4 Ni 3.00, 4 Cl 3.03, 2 Cd 3.25
Ni  0.2500  0.7500  0.5000  4 Cl 2.33

=====

(3)
Material: LaPr6Dy2Ho
Method: DFT, GGA-PBE
State: optimized geometry

Computed properties:
E = -0.170 Ha/atom
ΔH_f (0 K) = 112 meV per atom
Density of states at the Fermi level = 14.613 states/eV/f.u.
Mass density = 6.95 g cm⁻³
V = 704 Å³ per cell

Lattice parameters (Å, degrees): 9.8182 9.0130 9.0130 117.09 93.81 93.81
Last column: nearest neighbours and their distance in Å.
Element x y z (fractional)
Ho  0.7500  0.5898  0.4102  6 Pr 3.47-3.62, 2 Dy 3.58
Ho  0.2500  0.4102  0.5898  6 Pr 3.47-3.62, 2 Dy 3.58
Dy  0.0487  0.2983  0.2011  5 Pr 3.34-3.58, 2 La 3.46-3.53, 1 Ho 3.58
Dy  0.5487  0.2011  0.2983  5 Pr 3.34-3.58, 2 La 3.46-3.53, 1 Ho 3.58
Dy  0.4513  0.7989  0.7017  5 Pr 3.34-3.58, 2 La 3.46-3.53, 1 Ho 3.58
Dy  0.9513  0.7017  0.7989  5 Pr 3.34-3.58, 2 La 3.46-3.53, 1 Ho 3.58
La  0.7500  0.0284  0.9716  4 Dy 3.46-3.53, 4 Pr 3.63-3.74
La  0.2500  0.9716  0.0284  4 Dy 3.46-3.53, 4 Pr 3.63-3.74
Pr  0.3822  0.5116  0.2964  3 Dy 3.34-3.53, 4 Pr 3.35-3.68, 2 Ho 3.47-3.62
Pr  0.6178  0.4884  0.7036  3 Dy 3.34-3.53, 4 Pr 3.35-3.68, 2 Ho 3.47-3.62
Pr  0.8145  0.4382  0.9916  3 Pr 3.35-3.71, 1 Ho 3.50, 1 Dy 3.52, 1 La 3.63
Pr  0.6855  0.0084  0.5618  3 Pr 3.35-3.71, 1 Ho 3.50, 1 Dy 3.52, 1 La 3.63
Pr  0.8822  0.2964  0.5116  3 Dy 3.34-3.53, 4 Pr 3.35-3.68, 2 Ho 3.47-3.62
Pr  0.3145  0.9916  0.4382  3 Pr 3.35-3.71, 1 Ho 3.50, 1 Dy 3.52, 1 La 3.63
Pr  0.1178  0.7036  0.4884  3 Dy 3.34-3.53, 4 Pr 3.35-3.68, 2 Ho 3.47-3.62
Pr  0.5555  0.7558  0.1151  7 Pr 3.51-3.86, 1 Dy 3.58, 2 La 3.74-3.90
Pr  0.9445  0.8849  0.2442  7 Pr 3.51-3.86, 1 Dy 3.58, 2 La 3.74-3.90
Pr  0.4445  0.2442  0.8849  7 Pr 3.51-3.86, 1 Dy 3.58, 2 La 3.74-3.90
Pr  0.1855  0.5618  0.0084  3 Pr 3.35-3.71, 1 Ho 3.50, 1 Dy 3.52, 1 La 3.63
Pr  0.0555  0.1151  0.7558  7 Pr 3.51-3.86, 1 Dy 3.58, 2 La 3.74-3.90

=====

(4)
Material: Ac2Al2Ag15
Method: DFT, GGA-PBE
State: optimized geometry

Computed properties:
E = -0.117 Ha/atom
ΔH_f (0 K) = -96 meV per atom
Density of states at the Fermi level = 9.368 states/eV/f.u.
Mass density = 8.95 g cm⁻³
V = 394 Å³ per cell

Lattice parameters (Å, degrees): 7.3924 7.3924 7.3924 82.43 82.43 82.43
Last column: nearest neighbours and their distance in Å.
Element x y z (fractional)
Ag  0.6521  0.6521  0.1516  8 Ag 2.82-3.00, 1 Al 3.08
Ag  0.1516  0.6521  0.6521  8 Ag 2.82-3.00, 1 Al 3.08
Ag  0.5000  0.0000  0.0000  8 Ag 2.82, 2 Al 3.00
Ag  0.7022  0.0000  0.2978  8 Ag 2.82-3.00
Ag  0.0000  0.2978  0.7022  8 Ag 2.82-3.00
Ag  0.0000  0.0000  0.5000  8 Ag 2.82, 2 Al 3.00
Ag  0.0000  0.5000  0.0000  8 Ag 2.82, 2 Al 3.00
Ag  0.6521  0.1516  0.6521  8 Ag 2.82-3.00, 1 Al 3.08
Ag  0.2978  0.7022  0.0000  8 Ag 2.82-3.00
Ag  0.7022  0.2978  0.0000  8 Ag 2.82-3.00
Ag  0.3479  0.3479  0.8484  8 Ag 2.82-3.00, 1 Al 3.08
Ag  0.8484  0.3479  0.3479  8 Ag 2.82-3.00, 1 Al 3.08
Ag  0.0000  0.7022  0.2978  8 Ag 2.82-3.00
Ag  0.2978  0.0000  0.7022  8 Ag 2.82-3.00
Ag  0.3479  0.8484  0.3479  8 Ag 2.82-3.00, 1 Al 3.08
Ac  0.3426  0.3426  0.3426  18 Ag 3.44-3.78, 1 Al 3.57
Ac  0.6574  0.6574  0.6574  18 Ag 3.44-3.78, 1 Al 3.57
Al  0.9056  0.9056  0.9056  1 Al 2.72, 3 Ag 3.00
Al  0.0944  0.0944  0.0944  1 Al 2.72, 3 Ag 3.00

=====

(5)
Material: Rb3Dy3PtO8
Method: DFT, GGA-PBE
State: optimized geometry

Computed properties:
Formation energy without anion corrections = -2.28 eV per atom
E = -0.237 Ha/atom
Density of states at the Fermi level = 0.000 states/eV/f.u.
Mass density = 6.66 g cm⁻³
V = 266 Å³ per cell

Lattice parameters (Å, degrees): 6.8280 6.8281 7.6760 116.42 90.00 120.00
Last column: nearest neighbours and their distance in Å.
Element x y z (fractional)
O  0.7456  0.9559  0.6661  1 Pt 2.13, 2 Dy 2.32
O  0.7897  0.5794  0.3339  1 Pt 2.13, 2 Dy 2.32
O  0.2103  0.9559  0.6661  1 Pt 2.13, 2 Dy 2.32
O  0.2762  0.5525  0.3288  3 Dy 2.27
O  0.7897  0.0441  0.3339  1 Pt 2.13, 2 Dy 2.32
O  0.7238  0.4475  0.6712  3 Dy 2.27
O  0.2544  0.0441  0.3339  1 Pt 2.13, 2 Dy 2.32
O  0.2103  0.4206  0.6661  1 Pt 2.13, 2 Dy 2.32
Rb  0.5000  0.5000  0.0000  6 O 2.91-2.93
Rb  0.0000  0.0000  0.0000  6 O 2.91-2.93
Rb  0.0000  0.5000  0.0000  6 O 2.91-2.93
Dy  0.0000  0.5000  0.5000  6 O 2.27-2.32
Dy  0.5000  0.0000  0.5000  6 O 2.27-2.32
Dy  0.5000  0.5000  0.5000  6 O 2.27-2.32
Pt  0.0000  0.0000  0.5000  6 O 2.13

=====

(6)
Material: NdTl2GeS4
Method: DFT, GGA-PBE
State: optimized geometry

Computed properties:
Formation energy without anion corrections = -0.78 eV per atom
E = -0.169 Ha/atom
Density of states at the Fermi level = 4.698 states/eV/f.u.
Mass density = 6.05 g cm⁻³
V = 207 Å³ per cell

Lattice parameters (Å, degrees): 4.0067 7.7377 7.0103 72.28 90.00 90.00
Last column: nearest neighbours and their distance in Å.
Element x y z (fractional)
Tl  0.5000  0.0000  0.5000  6 S 3.27-3.33
Tl  0.0000  0.0000  0.0000  6 S 3.15-3.17
S  0.5000  0.2996  0.7548  1 Ge 2.64, 2 Nd 2.81
S  0.0000  0.6946  0.7851  2 Ge 2.68, 1 Nd 2.84
S  0.5000  0.7004  0.2452  1 Ge 2.64, 2 Nd 2.81
S  0.0000  0.3054  0.2149  2 Ge 2.68, 1 Nd 2.84
Nd  0.0000  0.5000  0.5000  6 S 2.81-2.84
Ge  0.5000  0.5000  0.0000  6 S 2.64-2.68

=====

(7)
Material: Na2GaPt2
Method: DFT, GGA-PBE
State: optimized geometry

Computed properties:
E = -0.128 Ha/atom
ΔH_f (0 K) = 65 meV per atom
Density of states at the Fermi level = 1.318 states/eV/f.u.
Mass density = 8.75 g cm⁻³
Offset from the most stable computed form = 494 meV/atom
V = 192 Å³ per cell

Lattice parameters (Å, degrees): 8.3648 8.3648 2.7435 90.00 90.00 90.00
Last column: nearest neighbours and their distance in Å.
Element x y z (fractional)
Na  0.1170  0.3830  0.0000  3 Na 2.74-2.77, 6 Pt 2.75-2.90
Na  0.3830  0.8830  0.0000  3 Na 2.74-2.77, 6 Pt 2.75-2.90
Na  0.8830  0.6170  0.0000  3 Na 2.74-2.77, 6 Pt 2.75-2.90
Na  0.6170  0.1170  0.0000  3 Na 2.74-2.77, 6 Pt 2.75-2.90
Ga  0.0000  0.0000  0.0000  2 Ga 2.74
Ga  0.5000  0.5000  0.0000  2 Ga 2.74
Pt  0.3184  0.1816  0.5000  2 Pt 2.74, 6 Na 2.75-2.90
Pt  0.8184  0.3184  0.5000  2 Pt 2.74, 6 Na 2.75-2.90
Pt  0.1816  0.6816  0.5000  2 Pt 2.74, 6 Na 2.75-2.90
Pt  0.6816  0.8184  0.5000  2 Pt 2.74, 6 Na 2.75-2.90

=====

(8)
Material: AlReTe
Method: DFT, GGA-PBE
State: optimized geometry

Computed properties:
Formation energy without anion corrections = 0.47 eV per atom
E = -0.220 Ha/atom
Density of states at the Fermi level = 4.527 states/eV/f.u.
Mass density = 9.24 g cm⁻³
Offset from the most stable computed form = 166 meV/atom
V = 61 Å³ per cell

Lattice parameters (Å, degrees): 4.4241 4.4241 4.4241 60.00 60.00 60.00
Last column: nearest neighbours and their distance in Å.
Element x y z (fractional)
Te  0.0000  0.0000  0.0000  4 Re 2.71
Al  0.5000  0.5000  0.5000  4 Re 2.71
Re  0.7500  0.7500  0.7500  4 Te 2.71, 4 Al 2.71

=====

(9)
Material: FePC
Method: DFT, GGA-PBE
State: optimized geometry

Computed properties:
E = -0.266 Ha/atom
ΔH_f (0 K) = 457 meV per atom
Density of states at the Fermi level = 1.374 states/eV/f.u.
Mass density = 5.07 g cm⁻³
Offset from the most stable computed form = 325 meV/atom
V = 65 Å³ per cell

Lattice parameters (Å, degrees): 4.7180 2.8145 4.8732 90.00 90.06 90.00
Last column: nearest neighbours and their distance in Å.
Element x y z (fractional)
Fe  0.8923  0.5000  0.3762  3 C 2.26, 2 P 2.27-2.45
Fe  0.8923  0.0000  0.8762  3 C 2.26, 2 P 2.27-2.45
P  0.3726  0.0000  0.8760  3 C 1.85
P  0.3726  0.5000  0.3760  3 C 1.85
C  0.5590  0.0000  0.2095  3 P 1.85
C  0.5590  0.5000  0.7095  3 P 1.85

=====

(10)
Material: PrTmInPb
Method: DFT, GGA-PBE
State: optimized geometry

Computed properties:
E = -0.159 Ha/atom
ΔH_f (0 K) = -399 meV per atom
Density of states at the Fermi level = 3.265 states/eV/f.u.
Mass density = 9.11 g cm⁻³
Offset from the most stable computed form = 46 meV/atom
V = 115 Å³ per cell

Lattice parameters (Å, degrees): 5.4617 5.4617 5.4617 60.00 60.00 60.00
Last column: nearest neighbours and their distance in Å.
Element x y z (fractional)
Tm  0.7500  0.7500  0.7500  4 Pb 3.34, 4 In 3.34
Pb  0.5000  0.5000  0.5000  4 Pr 3.34, 4 Tm 3.34
Pr  0.2500  0.2500  0.2500  4 In 3.34, 4 Pb 3.34
In  0.0000  0.0000  0.0000  4 Tm 3.34, 4 Pr 3.34

=====

(11)
Material: BiSbPS2
Method: DFT, GGA-PBE
State: optimized geometry

Computed properties:
Formation energy without anion corrections = 0.83 eV per atom
E = -0.129 Ha/atom
Density of states at the Fermi level = 4.388 states/eV/f.u.
Mass density = 5.08 g cm⁻³
Offset from the most stable computed form = 311 meV/atom
V = 139 Å³ per cell

Lattice parameters (Å, degrees): 5.1217 5.1217 5.3064 90.00 90.00 90.00
Last column: nearest neighbours and their distance in Å.
Element x y z (fractional)
P  0.0000  0.0000  0.5000  2 Bi 2.65
Bi  0.0000  0.0000  0.0000  4 S 2.56, 2 P 2.65
Sb  0.5000  0.5000  0.5000  4 P 3.62, 8 S 3.69
S  0.5000  0.0000  0.0000  2 Bi 2.56
S  0.0000  0.5000  0.0000  2 Bi 2.56

=====

(12)
Material: CsGa3C
Method: DFT, GGA-PBE
State: optimized geometry

Computed properties:
E = -0.051 Ha/atom
ΔH_f (0 K) = 2452 meV per atom
Density of states at the Fermi level = 6.276 states/eV/f.u.
Mass density = 2.22 g cm⁻³
Offset from the most stable computed form = 1454 meV/atom
V = 265 Å³ per cell

Lattice parameters (Å, degrees): 6.4217 6.4217 6.4217 90.00 90.00 90.00
Last column: nearest neighbours and their distance in Å.
Element x y z (fractional)
C  0.5000  0.5000  0.5000  12 Ga 4.54
Ga  0.5000  0.0000  0.0000  2 Cs 3.21
Ga  0.0000  0.5000  0.0000  2 Cs 3.21
Ga  0.0000  0.0000  0.5000  2 Cs 3.21
Cs  0.0000  0.0000  0.0000  6 Ga 3.21